Entry 1:
SnC3Cl: PBEsol geometry, SCAN.

Cell: 4.3467 4.3467 4.3467 Å, 90.00 90.00 90.00°
Space group Pm-3m (No. 221)
Asymmetric unit:
Sn: 0.0000 0.0000 0.0000 x1
C: 0.0000 0.0000 0.5000 x3
Cl: 0.5000 0.5000 0.5000 x1

Properties
Theoretical density (Mg/m³): 3.85
Raw total energy (eV per formula unit): -58.6
M_tot (Bohr magnetons per cell): 3.8
Crystal system: cubic


Entry 2:
Sr3CCl: PBEsol geometry, SCAN.

Cell: 5.4002 5.4002 5.4002 Å, 90.00 90.00 90.00°
Space group Pm-3m (No. 221)
Asymmetric unit:
Sr: 0.0000 0.0000 0.5000 x3
C: 0.5000 0.5000 0.5000 x1
Cl: 0.0000 0.0000 0.0000 x1

Properties
Theoretical density (Mg/m³): 3.27
Raw total energy (eV per formula unit): -82.4
M_tot (Bohr magnetons per cell): 0.0
Crystal system: cubic


Entry 3:
SrCCl2: PBEsol geometry, SCAN.

Cell: 4.0307 4.0307 22.9825 Å, 90.00 90.00 120.00°
Space group R-3m (No. 166, hexagonal axes)
Asymmetric unit:
Sr: 0.0000 0.0000 0.0000 x3
C: 0.0000 0.0000 0.5000 x3
Cl: 0.0000 0.0000 0.1194 x6

Properties
Theoretical density (Mg/m³): 2.63
Raw total energy (eV per formula unit): -45.1
M_tot (Bohr magnetons per cell): 2.5
Crystal system: trigonal